Entry 1:
Entry from Alexandria: an optimized crystal structure of In4GaHg2 (PBE).

Output
Electronic total energy   -2.051 eV per atom
Crystal system   monoclinic
Energy relative to the lowest polymorph listed for this composition   0 meV per atom
Total magnetization   0.0 Bohr magnetons per cell
Space group   Cc

Cell lengths 7.751, 7.754, 8.518 Å; angles 111.33, 111.31, 110.57 degrees
Atoms (fractional coordinates):
Ga1 0.252 0.769 0.512
Ga2 0.019 0.002 0.012
In1 0.907 0.283 0.257
In2 0.876 0.772 0.241
In3 0.533 0.657 0.757
In4 0.022 0.626 0.741
In5 0.360 0.121 0.894
In6 0.719 0.952 0.604
In7 0.372 0.110 0.394
In8 0.202 0.469 0.104
Hg1 0.624 0.481 0.354
Hg2 0.731 0.374 0.854
Hg3 0.509 0.873 0.137
Hg4 0.123 0.259 0.637

Entry 2:
Entry from Alexandria: an optimized crystal structure of LaGePd4 (PBE).

Output
Electronic total energy   -5.564 eV per atom
Crystal system   cubic
Energy relative to the lowest polymorph listed for this composition   162 meV per atom
Total magnetization   0.0 Bohr magnetons per cell
Space group   F-43m

Cell lengths 5.419, 5.419, 5.419 Å; angles 60.00, 60.00, 60.00 degrees
Atoms (fractional coordinates):
Ge1 0.000 0.000 0.000
Pd1 0.626 0.626 0.123
Pd2 0.626 0.626 0.626
Pd3 0.123 0.626 0.626
Pd4 0.626 0.123 0.626
La1 0.250 0.250 0.250

Entry 3:
Entry from Alexandria: an optimized crystal structure of LaP2Ru (PBE).

Output
Electronic total energy   -7.242 eV per atom
Crystal system   trigonal
Energy relative to the lowest polymorph listed for this composition   0 meV per atom
Total magnetization   0.0 Bohr magnetons per cell
Space group   R-3m

Cell lengths 4.072, 4.072, 5.640 Å; angles 68.89, 68.89, 59.95 degrees
Atoms (fractional coordinates):
La1 0.250 0.250 0.250
Ru1 0.750 0.750 0.750
P1 0.464 0.464 0.607
P2 0.036 0.036 0.893

Entry 4:
Entry from Alexandria: an optimized crystal structure of CrFe2Tc (PBE).

Output
Electronic total energy   -9.079 eV per atom
Crystal system   orthorhombic
Total magnetization   4.6 Bohr magnetons per cell
Space group   Cmmm

Cell lengths 2.514, 2.514, 8.254 Å; angles 90.00, 90.00, 107.20 degrees
Atoms (fractional coordinates):
Tc1 0.500 0.500 0.250
Cr1 0.500 0.500 0.750
Fe1 0.000 0.000 0.989
Fe2 0.000 0.000 0.511

Entry 5:
Entry from Alexandria: an optimized crystal structure of Zr8GaH6 (PBE).

Output
Electronic total energy   -6.385 eV per atom
Crystal system   trigonal
Total magnetization   0.0 Bohr magnetons per cell
Space group   R-3

Cell lengths 6.049, 6.049, 6.049 Å; angles 95.39, 95.39, 95.39 degrees
Atoms (fractional coordinates):
Zr1 0.238 0.580 0.906
Zr2 0.906 0.238 0.580
Zr3 0.094 0.762 0.420
Zr4 0.580 0.906 0.238
Zr5 0.307 0.307 0.307
Zr6 0.762 0.420 0.094
Zr7 0.420 0.094 0.762
Zr8 0.693 0.693 0.693
H1 0.434 0.825 0.518
H2 0.566 0.175 0.482
H3 0.825 0.518 0.434
H4 0.175 0.482 0.566
H5 0.518 0.434 0.825
H6 0.482 0.566 0.175
Ga1 0.000 0.000 0.000

Entry 6:
Entry from Alexandria: an optimized crystal structure of LiNbPb2 (PBE).

Output
Electronic total energy   -4.390 eV per atom
Crystal system   tetragonal
Total magnetization   0.0 Bohr magnetons per cell
Space group   I-42d

Cell lengths 7.528, 7.528, 6.203 Å; angles 52.64, 52.64, 90.00 degrees
Atoms (fractional coordinates):
Nb1 0.000 0.000 0.000
Nb2 0.750 0.250 0.500
Pb1 0.875 0.848 0.750
Pb2 0.152 0.625 0.250
Pb3 0.375 0.402 0.750
Pb4 0.598 0.125 0.250
Li1 0.250 0.750 0.500
Li2 0.500 0.500 0.000

Entry 7:
Entry from Alexandria: an optimized crystal structure of AcTbEu2 (PBE).

Output
Electronic total energy   -7.231 eV per atom
Crystal system   tetragonal
Energy relative to the lowest polymorph listed for this composition   9 meV per atom
Total magnetization   15.2 Bohr magnetons per cell
Space group   P4/mmm

Cell lengths 3.825, 3.825, 10.750 Å; angles 90.00, 90.00, 90.00 degrees
Atoms (fractional coordinates):
Eu1 0.000 0.000 0.736
Eu2 0.000 0.000 0.264
Ac1 0.500 0.500 0.000
Tb1 0.500 0.500 0.500

Entry 8:
Entry from Alexandria: an optimized crystal structure of Zn2InP (PBE).

Output
Electronic total energy   -2.359 eV per atom
Crystal system   cubic
Total magnetization   0.0 Bohr magnetons per cell
Space group   Fm-3m

Cell lengths 4.754, 4.754, 4.754 Å; angles 60.00, 60.00, 60.00 degrees
Atoms (fractional coordinates):
P1 0.000 0.000 0.000
Zn1 0.750 0.750 0.750
Zn2 0.250 0.250 0.250
In1 0.500 0.500 0.500